A PBEsol-optimized structure of YReI3, computed with SCAN.

E_tot: -41.35 eV/atom
Calculated volume: 40.8 Å³/atom
SG: Pm-3m (221)

a b c (Å): 5.885 5.885 5.885
angles (deg): 90.00 90.00 90.00
Fractional coordinates of all 5 atoms:
1 Y 0.000 0.000 0.000
2 Re 0.500 0.500 0.500
3 I 0.000 0.000 0.500
4 I 0.000 0.500 0.000
5 I 0.500 0.000 0.000